! BiS2IN, optimized geometry, DFT GGA-PBEsol; values from VASP
! Crystal system ... tetragonal
! Density ... 5.84 g cm⁻³
! N(E_F) ... 1.280 states/eV per atom
! Total DFT energy (no corrections) ... -17.736 eV/cell
! SG ... P4/mmm
&SYSTEM
  ibrav = 0, nat = 5, ntyp = 4
/
ATOMIC_SPECIES
N 14.01 N.upf
S 32.06 S.upf
I 126.90 I.upf
Bi 208.98 Bi.upf
ATOMIC_POSITIONS crystal
N 0.500 0.000 0.000
S 0.000 0.000 0.500
S 0.000 0.500 0.000
I 0.500 0.500 0.500
Bi 0.000 0.000 0.000
CELL_PARAMETERS angstrom
-0.871 -4.018 1.059
5.085 -0.815 1.090
-0.828 1.492 4.980